! Sc4TeAsSe2 (GGA-PBE, relaxed); values from VASP
! formation energy from raw total energies: -1.4399 eV/atom
! SG: P2/m
! total DFT energy (no corrections): -51.606 eV for the cell shown
&SYSTEM
  ibrav = 0, nat = 8, ntyp = 4
/
ATOMIC_SPECIES
Sc 44.96 Sc.upf
Te 127.60 Te.upf
As 74.92 As.upf
Se 78.96 Se.upf
CELL_PARAMETERS angstrom
6.808 0.000 0.000
0.000 3.935 0.000
-2.273 0.000 6.531
ATOMIC_POSITIONS crystal
Sc 0.234 0.000 0.219
Sc 0.253 0.500 0.773
Sc 0.747 0.500 0.227
Sc 0.766 0.000 0.781
Te 0.500 0.500 0.500
As 0.500 0.000 0.000
Se 0.000 0.000 0.500
Se 0.000 0.500 0.000

=====

! VCrGe2Pt (GGA-PBE, relaxed); values from VASP
! SG: P4/mmm
! total DFT energy (no corrections): -31.035 eV for the cell shown
! calculated formation energy: 597 meV/atom
&SYSTEM
  ibrav = 0, nat = 5, ntyp = 4
/
ATOMIC_SPECIES
V 50.94 V.upf
Cr 52.00 Cr.upf
Ge 72.64 Ge.upf
Pt 195.08 Pt.upf
CELL_PARAMETERS angstrom
4.591 0.000 0.000
0.000 4.591 0.000
0.000 0.000 4.127
ATOMIC_POSITIONS crystal
V 0.000 0.000 0.000
Cr 0.000 0.000 0.500
Ge 0.000 0.500 0.500
Ge 0.500 0.000 0.500
Pt 0.500 0.500 0.000

=====

! LiGaIrO4 (GGA-PBE, relaxed); values from VASP
! formation energy from raw total energies: -1.3946 eV/atom
! SG: Imma
! total DFT energy (no corrections): -86.793 eV for the cell shown
&SYSTEM
  ibrav = 0, nat = 14, ntyp = 4
/
ATOMIC_SPECIES
Li 6.94 Li.upf
Ga 69.72 Ga.upf
Ir 192.22 Ir.upf
O 16.00 O.upf
CELL_PARAMETERS angstrom
-2.979 3.055 4.322
2.979 -3.055 4.322
2.979 3.055 -4.322
ATOMIC_POSITIONS crystal
Li 0.384 0.134 0.250
Li 0.616 0.866 0.750
Ga 0.000 0.000 0.500
Ga 0.000 0.500 0.000
Ir 0.000 0.500 0.500
Ir 0.500 0.500 0.000
O 0.207 0.734 0.473
O 0.236 0.258 0.522
O 0.236 0.713 0.978
O 0.240 0.266 0.973
O 0.760 0.734 0.027
O 0.764 0.287 0.022
O 0.764 0.742 0.478
O 0.793 0.266 0.527